1.
## BiP2I (PBE)

Data for an optimized crystal structure of BiP2I.

Cell: 7.183 7.183 7.183 Å, 90.00 90.00 90.00°
Space group Fm-3m (No. 225)
One atom of each set of equivalent atoms:
Bi1 0.000 0.000 0.000 x4
P1 0.250 0.250 0.250 x8
I1 0.000 0.000 0.500 x4

Results
- Final energy: -52.3 eV for the cell shown

2.
## Ba6Pt2Br2N (PBE)

Data for an optimized crystal structure of Ba6Pt2Br2N.

Cell: 7.848 13.425 8.436 Å, 90.00 109.63 90.00°
Space group C2/m (No. 12)
One atom of each set of equivalent atoms:
Ba1 0.226 0.151 0.207 x8
Ba2 0.230 0.000 0.806 x4
Pt1 0.000 0.329 0.000 x4
Br1 0.000 0.169 0.500 x4
N1 0.000 0.000 0.000 x2

Results
- Final energy: -92.7 eV for the cell shown

3.
## K2Y2PaSe6 (PBE)

Data for an optimized crystal structure of K2Y2PaSe6.

Cell: 7.244 12.528 8.234 Å, 90.00 107.24 90.00°
Space group C2/m (No. 12)
One atom of each set of equivalent atoms:
K1 0.000 0.168 0.000 x4
Y1 0.000 0.333 0.500 x4
Pa1 0.000 0.000 0.500 x2
Se1 0.233 0.166 0.702 x8
Se2 0.238 0.500 0.701 x4

Results
- Final energy: -127.8 eV for the cell shown

4.
## InP2OsCl (PBE)

Data for an optimized crystal structure of InP2OsCl.

Cell: 5.042 5.042 4.890 Å, 90.00 90.00 90.00°
Space group P4/mmm (No. 123)
One atom of each set of equivalent atoms:
In1 0.000 0.000 0.000 x1
P1 0.000 0.500 0.000 x2
Os1 0.500 0.500 0.500 x1
Cl1 0.000 0.000 0.500 x1

Results
- Final energy: -18.0 eV for the cell shown

5.
## La2HoTmSb4 (PBE)

Data for an optimized crystal structure of La2HoTmSb4.

Cell: 7.756 4.498 7.787 Å, 90.00 109.55 90.00°
Space group P2/m (No. 10)
One atom of each set of equivalent atoms:
La1 0.000 0.000 0.000 x1
La2 0.000 0.500 0.500 x1
Ho1 0.500 0.000 0.500 x1
Tm1 0.500 0.500 0.000 x1
Sb1 0.265 0.500 0.254 x2
Sb2 0.266 0.000 0.756 x2

Results
- Final energy: -44.8 eV for the cell shown

6.
## Sm6Co2Sb (PBE)

Data for an optimized crystal structure of Sm6Co2Sb.

Cell: 9.527 9.956 10.215 Å, 90.00 90.00 90.00°
Space group Immm (No. 71)
One atom of each set of equivalent atoms:
Sm1 0.000 0.204 0.234 x8
Sm2 0.183 0.500 0.176 x8
Sm3 0.216 0.317 0.500 x8
Co1 0.000 0.344 0.000 x4
Co2 0.000 0.500 0.390 x4
Sb1 0.000 0.000 0.000 x2
Sb2 0.000 0.000 0.500 x2

Results
- Final energy: -197.6 eV for the cell shown